The following is a PBE calculation of a relaxed BaTa2Ru crystal, from Alexandria.

Values from the calculation:
For the polymorph energy (0 for the lowest one), the calculation gives 0.254 eV per atom. As for the calculated formation energy: 608 meV/atom. The mass density comes out at 10.3 Mg/m³. For the electronic total energy, the calculation gives -8.1176 eV/atom.

Lattice parameters (Å, degrees): 4.562 4.562 7.270 94.62 94.62 40.01
Positions (direct):
Ba1 0.000 0.000 0.000
Ta1 0.516 0.516 0.537
Ta2 0.784 0.784 0.354
Ru1 0.243 0.243 0.672

The following is a PBE calculation of a relaxed MnSi2Pb crystal, from Alexandria.

Values from the calculation:
The mass density comes out at 7.0 Mg/m³. For the formation energy without anion corrections, the calculation gives 2.5 eV per formula unit. For the electronic total energy, the calculation gives -5.3027 eV/atom.

Lattice parameters (Å, degrees): 5.128 5.128 5.128 130.68 130.68 72.32
Positions (direct):
Mn1 0.000 0.000 0.000
Si1 0.500 0.500 0.000
Si2 0.750 0.250 0.500
Pb1 0.250 0.750 0.500

The following is a PBE calculation of a relaxed ReAg2Pt crystal, from Alexandria.

Values from the calculation:
For the polymorph energy (0 for the lowest one), the calculation gives 0.277 eV per atom. As for the calculated formation energy: 458 meV/atom. The mass density comes out at 15.2 Mg/m³. For the electronic total energy, the calculation gives -5.5899 eV/atom.

Lattice parameters (Å, degrees): 2.711 2.711 8.878 90.00 90.00 90.00
Positions (direct):
Re1 0.000 0.000 0.000
Ag1 0.500 0.500 0.252
Ag2 0.500 0.500 0.748
Pt1 0.000 0.000 0.500

The following is a PBE calculation of a relaxed PrErTh2 crystal, from Alexandria.

Values from the calculation:
For the polymorph energy (0 for the lowest one), the calculation gives 0.531 eV per atom. As for the calculated formation energy: 561 meV/atom. The mass density comes out at 7.9 Mg/m³. For the electronic total energy, the calculation gives -5.4842 eV/atom.

Lattice parameters (Å, degrees): 9.924 9.924 3.556 95.64 95.64 109.53
Positions (direct):
Pr1 0.000 0.500 0.000
Pr2 0.500 0.000 0.500
Er1 0.203 0.797 0.750
Er2 0.797 0.203 0.250
Th1 0.282 0.459 0.451
Th2 0.459 0.282 0.951
Th3 0.541 0.718 0.049
Th4 0.718 0.541 0.549

The following is a PBE calculation of a relaxed HfIn2TePd crystal, from Alexandria.

Values from the calculation:
The mass density comes out at 6.3 Mg/m³. For the formation energy without anion corrections, the calculation gives 2.9 eV per formula unit. For the electronic total energy, the calculation gives -4.1638 eV/atom.

Lattice parameters (Å, degrees): 5.597 5.597 5.373 90.00 90.00 90.00
Positions (direct):
Hf1 0.000 0.000 0.000
In1 0.000 0.500 0.000
In2 0.500 0.000 0.000
Te1 0.000 0.000 0.500
Pd1 0.500 0.500 0.500

The following is a PBE calculation of a relaxed Sn2BiRh crystal, from Alexandria.

Values from the calculation:
As for the calculated formation energy: -106 meV/atom. The mass density comes out at 8.9 Mg/m³. For the electronic total energy, the calculation gives -4.9150 eV/atom.

Lattice parameters (Å, degrees): 10.310 10.310 10.310 19.14 19.14 19.14
Positions (direct):
Sn1 0.106 0.106 0.106
Sn2 0.894 0.894 0.894
Bi1 0.000 0.000 0.000
Rh1 0.500 0.500 0.500

The following is a PBE calculation of a relaxed Cs3Rb12Na crystal, from Alexandria.

Values from the calculation:
As for the calculated formation energy: 12 meV/atom. The mass density comes out at 1.6 Mg/m³. For the electronic total energy, the calculation gives -0.9564 eV/atom.

Lattice parameters (Å, degrees): 7.235 7.235 27.872 90.00 90.00 90.00
Positions (direct):
Cs1 0.000 0.000 0.000
Cs2 0.000 0.000 0.264
Cs3 0.000 0.000 0.736
Rb1 0.000 0.500 0.132
Rb2 0.000 0.500 0.396
Rb3 0.000 0.500 0.604
Rb4 0.000 0.500 0.868
Rb5 0.500 0.000 0.132
Rb6 0.500 0.000 0.396
Rb7 0.500 0.000 0.604
Rb8 0.500 0.000 0.868
Rb9 0.500 0.500 0.000
Rb10 0.500 0.500 0.263
Rb11 0.500 0.500 0.500
Rb12 0.500 0.500 0.737
Na1 0.000 0.000 0.500

The following is a PBE calculation of a relaxed SmSb2Au crystal, from Alexandria.

Values from the calculation:
The mass density comes out at 9.8 Mg/m³. For the formation energy without anion corrections, the calculation gives -2.8 eV per formula unit. For the electronic total energy, the calculation gives -4.7523 eV/atom.

Lattice parameters (Å, degrees): 4.448 4.448 10.160 90.00 90.00 90.00
Positions (direct):
Sm1 0.250 0.250 0.246
Sm2 0.750 0.750 0.754
Sb1 0.250 0.250 0.683
Sb2 0.250 0.750 0.000
Sb3 0.750 0.250 0.000
Sb4 0.750 0.750 0.317
Au1 0.250 0.750 0.500
Au2 0.750 0.250 0.500

Calculated size of the total moment (μB/atom), listed in the same order as above: 0.00; 0.93; 0.00; 0.00; 0.00; 0.00; 0.00; 0.00